Entry 1:
Density functional theory data (PBEsol) for an optimized crystal structure of SrMgZn2.

a = 3.514 Å, b = 3.514 Å, c = 7.248 Å
α = 90.00°, β = 90.00°, γ = 90.00°
Fractional positions:
Sr 0.000 0.000 0.000
Mg 0.000 0.000 0.500
Zn 0.500 0.500 0.301
Zn 0.500 0.500 0.699

Calculated values
**Total energy**: -7.049 eV per cell
**Density of states at the Fermi level**: 3.1 states/eV per cell

Entry 2:
Density functional theory data (PBEsol) for an optimized crystal structure of SrMg2Zn2.

a = 6.770 Å, b = 6.770 Å, c = 6.770 Å
α = 141.86°, β = 141.86°, γ = 55.04°
Fractional positions:
Sr 0.000 0.000 0.000
Mg 0.250 0.750 0.500
Mg 0.750 0.250 0.500
Zn 0.395 0.395 0.000
Zn 0.605 0.605 0.000

Calculated values
**Total energy**: -9.239 eV per cell
**Density of states at the Fermi level**: 3.0 states/eV per cell

Entry 3:
Density functional theory data (PBEsol) for an optimized crystal structure of SrMgZn2.

a = 6.028 Å, b = 6.028 Å, c = 6.028 Å
α = 44.73°, β = 44.73°, γ = 44.73°
Fractional positions:
Sr 0.000 0.000 0.000
Mg 0.500 0.500 0.500
Zn 0.197 0.197 0.197
Zn 0.803 0.803 0.803

Calculated values
**Total energy**: -7.260 eV per cell
**Density of states at the Fermi level**: 2.3 states/eV per cell

Entry 4:
Density functional theory data (PBEsol) for an optimized crystal structure of SrMg2Zr.

a = 6.506 Å, b = 6.506 Å, c = 6.506 Å
α = 148.74°, β = 130.49°, γ = 59.72°
Fractional positions:
Sr 0.000 0.000 0.000
Mg 0.270 0.770 0.500
Mg 0.730 0.230 0.500
Zr 0.500 0.500 0.000

Calculated values
**Energy relative to the lowest polymorph listed for this composition**: 118 meV per atom
**Density of states at the Fermi level**: 5.5 states/eV per cell

Entry 5:
Density functional theory data (PBEsol) for an optimized crystal structure of SrMg2Zr.

a = 11.287 Å, b = 11.287 Å, c = 11.287 Å
α = 17.01°, β = 17.01°, γ = 17.01°
Fractional positions:
Sr 0.000 0.000 0.000
Mg 0.243 0.243 0.243
Mg 0.757 0.757 0.757
Zr 0.500 0.500 0.500

Calculated values
**Energy relative to the lowest polymorph listed for this composition**: 0 meV per atom
**Density of states at the Fermi level**: 4.5 states/eV per cell

Entry 6:
Density functional theory data (PBEsol) for an optimized crystal structure of Sr2MgZr.

a = 6.272 Å, b = 6.272 Å, c = 6.272 Å
α = 132.46°, β = 132.46°, γ = 69.51°
Fractional positions:
Sr 0.250 0.750 0.500
Sr 0.750 0.250 0.500
Mg 0.000 0.000 0.000
Zr 0.500 0.500 0.000

Calculated values
**Total energy**: -12.555 eV per cell
**Density of states at the Fermi level**: 6.3 states/eV per cell

Entry 7:
Density functional theory data (PBEsol) for an optimized crystal structure of SrMg4Zr.

a = 5.984 Å, b = 5.984 Å, c = 5.984 Å
α = 60.00°, β = 60.00°, γ = 60.00°
Fractional positions:
Sr 0.000 0.000 0.000
Mg 0.377 0.377 0.377
Mg 0.377 0.377 0.869
Mg 0.377 0.869 0.377
Mg 0.869 0.377 0.377
Zr 0.750 0.750 0.750

Calculated values
**Total energy**: -16.841 eV per cell
**Density of states at the Fermi level**: 6.5 states/eV per cell

Entry 8:
Density functional theory data (PBEsol) for an optimized crystal structure of Mg2Ta.

a = 5.529 Å, b = 5.529 Å, c = 5.529 Å
α = 150.81°, β = 135.22°, γ = 54.35°
Fractional positions:
Mg 0.169 0.169 0.000
Mg 0.831 0.831 0.000
Ta 0.500 0.500 0.000

Calculated values
**Total energy**: -14.590 eV per cell
**Density of states at the Fermi level**: 1.5 states/eV per cell

Entry 9:
Density functional theory data (PBEsol) for an optimized crystal structure of MgTa.

a = 4.709 Å, b = 4.709 Å, c = 4.709 Å
α = 60.00°, β = 60.00°, γ = 60.00°
Fractional positions:
Mg 0.125 0.125 0.125
Mg 0.875 0.875 0.875
Ta 0.375 0.375 0.375
Ta 0.625 0.625 0.625

Calculated values
**Total energy**: -26.407 eV per cell
**Density of states at the Fermi level**: 6.7 states/eV per cell

Entry 10:
Density functional theory data (PBEsol) for an optimized crystal structure of MgTa2.

a = 4.698 Å, b = 4.698 Å, c = 5.566 Å
α = 90.00°, β = 90.00°, γ = 120.00°
Fractional positions:
Mg 0.333 0.667 0.250
Mg 0.667 0.333 0.750
Ta 0.000 0.000 0.000
Ta 0.000 0.000 0.500
Ta 0.333 0.667 0.750
Ta 0.667 0.333 0.250

Calculated values
**Energy relative to the lowest polymorph listed for this composition**: 132 meV per atom
**Density of states at the Fermi level**: 3.2 states/eV per cell

Entry 11:
Density functional theory data (PBEsol) for an optimized crystal structure of MgTa.

a = 2.897 Å, b = 2.897 Å, c = 5.122 Å
α = 90.00°, β = 90.00°, γ = 120.00°
Fractional positions:
Mg 0.000 0.000 0.000
Ta 0.333 0.667 0.500

Calculated values
**Total energy**: -13.563 eV per cell
**Density of states at the Fermi level**: 2.2 states/eV per cell

Entry 12:
Density functional theory data (PBEsol) for an optimized crystal structure of MgTa.

a = 5.991 Å, b = 5.991 Å, c = 4.715 Å
α = 90.00°, β = 90.00°, γ = 154.05°
Fractional positions:
Mg 0.061 0.939 0.750
Mg 0.939 0.061 0.250
Ta 0.308 0.692 0.750
Ta 0.692 0.308 0.250

Calculated values
**Total energy**: -27.193 eV per cell
**Density of states at the Fermi level**: 2.4 states/eV per cell

Entry 13:
Density functional theory data (PBEsol) for an optimized crystal structure of MgTa.

a = 4.736 Å, b = 4.736 Å, c = 5.328 Å
α = 90.00°, β = 90.00°, γ = 120.00°
Fractional positions:
Mg 0.333 0.667 0.250
Mg 0.667 0.333 0.750
Ta 0.333 0.667 0.750
Ta 0.667 0.333 0.250

Calculated values
**Total energy**: -19.091 eV per cell
**Density of states at the Fermi level**: 5.7 states/eV per cell

Entry 14:
Density functional theory data (PBEsol) for an optimized crystal structure of MgTa2.

a = 7.414 Å, b = 7.414 Å, c = 7.414 Å
α = 158.32°, β = 158.32°, γ = 30.85°
Fractional positions:
Mg 0.000 0.000 0.000
Ta 0.329 0.329 0.000
Ta 0.671 0.671 0.000

Calculated values
**Energy relative to the lowest polymorph listed for this composition**: 0 meV per atom
**Density of states at the Fermi level**: 3.0 states/eV per cell

Entry 15:
Density functional theory data (PBEsol) for an optimized crystal structure of MgTa.

a = 5.150 Å, b = 5.150 Å, c = 5.150 Å
α = 132.36°, β = 132.36°, γ = 69.66°
Fractional positions:
Mg 0.375 0.625 0.750
Mg 0.625 0.375 0.250
Ta 0.125 0.875 0.250
Ta 0.875 0.125 0.750

Calculated values
**Total energy**: -26.700 eV per cell
**Density of states at the Fermi level**: 4.4 states/eV per cell

Entry 16:
Density functional theory data (PBEsol) for an optimized crystal structure of MgTaTc.

a = 4.520 Å, b = 4.520 Å, c = 2.750 Å
α = 90.00°, β = 90.00°, γ = 120.00°
Fractional positions:
Mg 0.000 0.000 0.000
Ta 0.333 0.667 0.597
Tc 0.667 0.333 0.337

Calculated values
**Energy relative to the lowest polymorph listed for this composition**: 0 meV per atom
**Density of states at the Fermi level**: 1.3 states/eV per cell

Entry 17:
Density functional theory data (PBEsol) for an optimized crystal structure of MgTa2Tc.

a = 2.820 Å, b = 2.820 Å, c = 9.211 Å
α = 90.00°, β = 90.00°, γ = 111.33°
Fractional positions:
Mg 0.000 0.000 0.000
Ta 0.000 0.000 0.469
Ta 0.500 0.500 0.723
Tc 0.500 0.500 0.246

Calculated values
**Total energy**: -37.734 eV per cell
**Density of states at the Fermi level**: 3.0 states/eV per cell

Entry 18:
Density functional theory data (PBEsol) for an optimized crystal structure of MgTa2Tc.

a = 4.544 Å, b = 4.544 Å, c = 4.544 Å
α = 60.00°, β = 60.00°, γ = 60.00°
Fractional positions:
Mg 0.000 0.000 0.000
Ta 0.250 0.250 0.250
Ta 0.500 0.500 0.500
Tc 0.750 0.750 0.750

Calculated values
**Total energy**: -36.952 eV per cell
**Density of states at the Fermi level**: 5.7 states/eV per cell

Entry 19:
Density functional theory data (PBEsol) for an optimized crystal structure of MgTaTc.

a = 7.215 Å, b = 7.004 Å, c = 2.836 Å
α = 82.72°, β = 74.34°, γ = 22.94°
Fractional positions:
Mg 0.000 0.000 0.000
Ta 0.687 0.687 0.313
Tc 0.333 0.333 0.667

Calculated values
**Energy relative to the lowest polymorph listed for this composition**: 51 meV per atom
**Density of states at the Fermi level**: 1.9 states/eV per cell

Entry 20:
Density functional theory data (PBEsol) for an optimized crystal structure of MgTaTc.

a = 2.851 Å, b = 2.851 Å, c = 7.139 Å
α = 90.00°, β = 90.00°, γ = 120.00°
Fractional positions:
Mg 0.000 0.000 0.000
Ta 0.667 0.333 0.637
Tc 0.333 0.667 0.321

Calculated values
**Energy relative to the lowest polymorph listed for this composition**: 236 meV per atom
**Density of states at the Fermi level**: 3.1 states/eV per cell